Density functional theory data (PBE) for Pu6RuPt2 after structural relaxation.

abc: 7.9586 7.9586 2.7519
angles: 90.00 90.00 120.00
Space group P-31m (No. 162)
One atom of each set of equivalent atoms:
Pu (0.0000, 0.3156, 0.0705) [6 per cell]
Ru (0.0000, 0.0000, 0.5000) [1 per cell]
Pt (0.3333, 0.6667, 0.5000) [2 per cell]

Properties
**Formation energy**: 0.042 eV per atom
**E above lowest polymorph**: 345 meV/atom

Density functional theory data (PBE) for Ca2SbRu after structural relaxation.

abc: 3.537 4.149 6.326
angles: 90.00 90.13 90.00
Space group P2/m (No. 10)
One atom of each set of equivalent atoms:
Ca (0.001, 0.000, 0.266) [2 per cell]
Sb (0.500, 0.500, 0.000) [1 per cell]
Ru (0.500, 0.500, 0.500) [1 per cell]

Properties
**Energy relative to the elements, uncorrected**: -3.5 kcal/mol of atoms

Density functional theory data (PBE) for Cd2HgOsO6 after structural relaxation.

abc: 5.400 5.460 10.691
angles: 90.00 117.01 90.00
Space group P2_1/c (No. 14)
One atom of each set of equivalent atoms:
Cd (0.233, 0.046, 0.253) [4 per cell]
Hg (0.500, 0.000, 0.000) [2 per cell]
Os (0.000, 0.000, 0.500) [2 per cell]
O (0.043, 0.244, 0.383) [4 per cell]
O (0.193, 0.721, 0.929) [4 per cell]
O (0.335, 0.114, 0.654) [4 per cell]

Properties
**Energy relative to the elements, uncorrected**: -19.0 kcal/mol of atoms

Density functional theory data (PBE) for CaBi2H2 after structural relaxation.

abc: 8.214 8.214 4.290
angles: 90.00 90.00 90.00
Space group P4/mbm (No. 127)
One atom of each set of equivalent atoms:
Ca (0.000, 0.000, 0.000) [2 per cell]
Bi (0.133, 0.367, 0.000) [4 per cell]
H (0.157, 0.343, 0.500) [4 per cell]

Properties
**E above lowest polymorph**: 243 meV/atom

Density functional theory data (PBE) for ZnGeH after structural relaxation.

abc: 4.568 4.580 6.173
angles: 70.01 89.66 60.19
Space group P-1 (No. 2)
One atom of each set of equivalent atoms:
Zn (0.112, 0.384, 0.337) [2 per cell]
Ge (0.484, 0.888, 0.213) [2 per cell]
H (0.310, 0.658, 0.202) [2 per cell]

Properties
**Energy**: -2.9152 eV per atom

Density functional theory data (PBE) for Re3Se after structural relaxation.

abc: 2.875 4.082 5.335
angles: 90.00 103.35 90.00
Space group P2/m (No. 10)
One atom of each set of equivalent atoms:
Re (0.000, 0.000, 0.000) [1 per cell]
Re (0.379, 0.500, 0.746) [2 per cell]
Se (0.000, 0.000, 0.500) [1 per cell]

Properties
**Energy relative to the elements, uncorrected**: 12.1 kcal/mol of atoms
**E above lowest polymorph**: 219 meV/atom

Density functional theory data (PBE) for ThAg4 after structural relaxation.

abc: 5.649 5.649 5.649
angles: 90.00 90.00 90.00
Space group Pm-3m (No. 221)
One atom of each set of equivalent atoms:
Th (0.000, 0.000, 0.000) [1 per cell]
Ag (0.000, 0.000, 0.500) [3 per cell]
Ag (0.500, 0.500, 0.500) [1 per cell]

Properties
**Formation energy**: 1.246 eV per atom

Density functional theory data (PBE) for Tb17Sm2 after structural relaxation.

abc: 11.1898 11.1898 17.6873
angles: 90.00 90.00 120.00
Space group R-3m (No. 166, hexagonal axes)
One atom of each set of equivalent atoms:
Tb (0.0000, 0.0000, 0.0948) [6 per cell]
Tb (0.0000, 0.2978, 0.0000) [18 per cell]
Tb (0.0000, 0.5000, 0.5000) [9 per cell]
Tb (0.0147, 0.5074, 0.1355) [18 per cell]
Sm (0.0000, 0.0000, 0.3239) [6 per cell]

Properties
**Formation energy**: 0.279 eV per atom

Density functional theory data (PBE) for PmPuSnHg after structural relaxation.

abc: 3.504 3.504 8.762
angles: 90.00 90.00 90.00
Space group P4mm (No. 99)
One atom of each set of equivalent atoms:
Pm (0.000, 0.000, 0.000) [1 per cell]
Pu (0.000, 0.000, 0.502) [1 per cell]
Sn (0.500, 0.500, 0.252) [1 per cell]
Hg (0.500, 0.500, 0.751) [1 per cell]

Properties
**Formation energy**: -0.398 eV per atom
**E above lowest polymorph**: 4 meV/atom

Density functional theory data (PBE) for LaRe2Te after structural relaxation.

abc: 3.1872 3.1872 29.0810
angles: 90.00 90.00 120.00
Space group R3m (No. 160, hexagonal axes)
One atom of each set of equivalent atoms:
La (0.0000, 0.0000, 0.0000) [3 per cell]
Re (0.0000, 0.0000, 0.4864) [3 per cell]
Re (0.0000, 0.0000, 0.7592) [3 per cell]
Te (0.0000, 0.0000, 0.2322) [3 per cell]

Properties
**Energy relative to the elements, uncorrected**: 12.3 kcal/mol of atoms

Density functional theory data (PBE) for Li2Ce2DyIn2 after structural relaxation.

abc: 4.6690 4.6690 26.7689
angles: 90.00 90.00 120.00
Space group R-3m (No. 166, hexagonal axes)
One atom of each set of equivalent atoms:
Li (0.0000, 0.0000, 0.0928) [6 per cell]
Ce (0.0000, 0.0000, 0.3572) [6 per cell]
Dy (0.0000, 0.0000, 0.5000) [3 per cell]
In (0.0000, 0.0000, 0.2339) [6 per cell]

Properties
**Formation energy**: -0.216 eV per atom

Density functional theory data (PBE) for TaMnPt2 after structural relaxation.

abc: 3.925 3.925 7.954
angles: 90.00 90.00 90.00
Space group I4/mmm (No. 139)
One atom of each set of equivalent atoms:
Ta (0.000, 0.000, 0.000) [2 per cell]
Mn (0.000, 0.000, 0.500) [2 per cell]
Pt (0.000, 0.500, 0.250) [4 per cell]

Properties
**Formation energy**: -0.592 eV per atom

Density functional theory data (PBE) for HF after structural relaxation.

abc: 3.294 5.647 6.751
angles: 90.00 90.00 90.00
Space group Pmmn (No. 59, origin choice 2)
One atom of each set of equivalent atoms:
H (0.250, 0.087, 0.182) [4 per cell]
H (0.250, 0.750, 0.288) [2 per cell]
F (0.250, 0.250, 0.075) [2 per cell]
F (0.250, 0.548, 0.305) [4 per cell]

Properties
**E above lowest polymorph**: 29 meV/atom

Density functional theory data (PBE) for Fe3GeAs after structural relaxation.

abc: 4.372 4.372 4.372
angles: 90.00 90.00 90.00
Space group Pm-3m (No. 221)
One atom of each set of equivalent atoms:
Fe (0.000, 0.000, 0.500) [3 per cell]
Ge (0.000, 0.000, 0.000) [1 per cell]
As (0.500, 0.500, 0.500) [1 per cell]

Properties
**Formation energy**: 0.886 eV per atom
**E above lowest polymorph**: 0 meV/atom

Density functional theory data (PBE) for TaCrCo4 after structural relaxation.

abc: 6.641 6.641 6.641
angles: 90.00 90.00 90.00
Space group F-43m (No. 216)
One atom of each set of equivalent atoms:
Ta (0.000, 0.000, 0.000) [4 per cell]
Cr (0.250, 0.250, 0.250) [4 per cell]
Co (0.124, 0.124, 0.624) [16 per cell]

Properties
**Formation energy**: -0.052 eV per atom
**E above lowest polymorph**: 0 meV/atom

Density functional theory data (PBE) for TbCe2Sc3P6 after structural relaxation.

abc: 6.795 11.768 6.736
angles: 90.00 109.65 90.00
Space group C2/m (No. 12)
One atom of each set of equivalent atoms:
Tb (0.000, 0.000, 0.000) [2 per cell]
Ce (0.000, 0.333, 0.000) [4 per cell]
Sc (0.000, 0.167, 0.500) [4 per cell]
Sc (0.000, 0.500, 0.500) [2 per cell]
P (0.244, 0.000, 0.731) [4 per cell]
P (0.244, 0.333, 0.733) [8 per cell]

Properties
**Formation energy**: -1.501 eV per atom

Density functional theory data (PBE) for MgZn5Ga4 after structural relaxation.

abc: 13.293 6.626 4.277
angles: 90.00 105.97 90.00
Space group C2/m (No. 12)
One atom of each set of equivalent atoms:
Mg (0.000, 0.000, 0.000) [2 per cell]
Zn (0.000, 0.500, 0.000) [2 per cell]
Zn (0.175, 0.270, 0.174) [8 per cell]
Ga (0.000, 0.286, 0.500) [4 per cell]
Ga (0.160, 0.000, 0.658) [4 per cell]

Properties
**Formation energy**: 0.011 eV per atom

Density functional theory data (PBE) for LiTcPt after structural relaxation.

abc: 4.2557 4.2557 2.6488
angles: 90.00 90.00 120.00
Space group P3m1 (No. 156)
One atom of each set of equivalent atoms:
Li (0.0000, 0.0000, 0.0000) [1 per cell]
Tc (0.3333, 0.6667, 0.5798) [1 per cell]
Pt (0.6667, 0.3333, 0.1141) [1 per cell]

Properties
**Formation energy**: -0.034 eV per atom
**E above lowest polymorph**: 206 meV/atom

Density functional theory data (PBE) for Zn3C after structural relaxation.

abc: 3.384 6.382 4.963
angles: 90.00 90.00 90.00
Space group Pmmn (No. 59, origin choice 2)
One atom of each set of equivalent atoms:
Zn (0.250, 0.060, 0.203) [4 per cell]
Zn (0.250, 0.250, 0.662) [2 per cell]
C (0.250, 0.750, 0.046) [2 per cell]

Properties
**Formation energy**: 0.710 eV per atom

Density functional theory data (PBE) for Al2TcOs after structural relaxation.

abc: 2.907 4.467 4.429
angles: 90.00 90.00 90.00
Space group Pmm2 (No. 25)
One atom of each set of equivalent atoms:
Al (0.000, 0.000, 0.000) [1 per cell]
Al (0.500, 0.500, 0.147) [1 per cell]
Tc (0.500, 0.000, 0.490) [1 per cell]
Os (0.000, 0.500, 0.660) [1 per cell]

Properties
**Formation energy**: -0.259 eV per atom
**E above lowest polymorph**: 77 meV/atom